# CrHgH2

A relaxed CrHgH2 crystal (PBE, Alexandria via LeMat-Bulk).

CIF file:
```
data_CrHgH2
_chemical_formula_sum 'Cr4 Hg4 H8'
_cell_length_a 4.4066
_cell_length_b 4.4066
_cell_length_c 9.7671
_cell_angle_alpha 90.00
_cell_angle_beta 90.00
_cell_angle_gamma 90.00
_space_group_name_H-M_alt 'I -4 2 d'
_space_group_IT_number 122
_space_group_name_Hall 'I -4 2bw'
loop_
_atom_site_label
_atom_site_fract_x
_atom_site_fract_y
_atom_site_fract_z
Cr1 0.0000 0.0000 0.0000
Hg1 0.0000 0.0000 0.5000
H1 0.0930 0.2500 0.1250
```

Results
- Offset from the most stable computed form: 0 meV per atom